Computed, not measured: BaCd2SnRh2 after structural relaxation at the PBE level of DFT.

The formation energy from the elements is -0.130 eV per atom. Its magnetization is 0.0 Bohr magnetons per cell. The total energy is -3.8731 eV/atom.

Cell: 4.9844 4.9844 6.5184 Å, 90.00 90.00 90.00°
Closest atoms and distances in Å follow each position.
Fractional coordinates of all 6 atoms:
Ba  0.0000  0.0000  0.0000  2 Sn 3.26
Cd  0.5000  0.5000  0.2659  4 Rh 2.92, 1 Cd 3.05
Cd  0.5000  0.5000  0.7341  4 Rh 2.92, 1 Cd 3.05
Sn  0.0000  0.0000  0.5000  4 Rh 2.49
Rh  0.0000  0.5000  0.5000  2 Sn 2.49
Rh  0.5000  0.0000  0.5000  2 Sn 2.49